[1]
Entry from Alexandria via LeMat-Bulk: crystalline Pm3ErSb2C at its relaxed geometry (PBE).

Geometry as POSCAR:
```
Pm3ErSb2C
1.0
-2.386 2.457 8.127
2.386 -2.457 8.127
2.386 2.457 -8.127
Pm Er Sb C
3 1 2 1
Direct
0.000 0.000 0.000
0.339 0.839 0.500
0.661 0.161 0.500
0.500 0.500 0.000
0.139 0.639 0.500
0.861 0.361 0.500
0.500 0.000 0.500
```

Properties
energy relative to the elements, uncorrected: -0.778 eV per atom
DOS at the Fermi energy: 6.7 states/eV/f.u.
volume: 190.58 Å³ per cell
calculated total energy: -5.96 eV/atom
crystal system: orthorhombic
magnetic moment: 0.0002 μB/atom
space-group type: Immm (71)

---

[2]
Entry from Alexandria via LeMat-Bulk: crystalline Pm3ErSn2C at its relaxed geometry (PBE).

Geometry as POSCAR:
```
Pm3ErSn2C
1.0
-2.404 2.470 8.204
2.404 -2.470 8.204
2.404 2.470 -8.204
Pm Er Sn C
3 1 2 1
Direct
0.000 0.000 0.000
0.339 0.839 0.500
0.661 0.161 0.500
0.500 0.500 0.000
0.138 0.638 0.500
0.862 0.362 0.500
0.500 0.000 0.500
```

Properties
DOS at the Fermi energy: 0.9 states/eV/f.u.
volume: 194.88 Å³ per cell
calculated total energy: -5.78 eV/atom
crystal system: orthorhombic
magnetic moment: 0.0000 μB/atom
ΔH_f (0 K): -0.6321 eV per atom
space-group type: Immm (71)

---

[3]
Entry from Alexandria via LeMat-Bulk: crystalline PmErTeC at its relaxed geometry (PBE).

Geometry as POSCAR:
```
PmErTeC
1.0
1.925 1.111 7.174
-1.925 1.111 7.174
0.000 -2.223 7.174
Pm Er Te C
1 1 1 1
Direct
0.000 0.000 0.000
0.209 0.209 0.209
0.775 0.775 0.775
0.601 0.601 0.601
```

Properties
energy relative to the elements, uncorrected: -0.802 eV per atom
DOS at the Fermi energy: 0.8 states/eV/f.u.
volume: 92.09 Å³ per cell
calculated total energy: -6.22 eV/atom
crystal system: trigonal
magnetic moment: 0.0000 μB/atom
space-group type: R3m (160)

---

[4]
Entry from Alexandria via LeMat-Bulk: crystalline PmEr2TlC at its relaxed geometry (PBE).

Geometry as POSCAR:
```
PmEr2TlC
1.0
4.883 0.000 0.000
0.000 4.883 0.000
0.000 0.000 5.085
Pm Er Tl C
1 2 1 1
Direct
0.000 0.000 0.000
0.000 0.500 0.500
0.500 0.000 0.500
0.500 0.500 0.000
0.000 0.000 0.500
```

Properties
DOS at the Fermi energy: 1.5 states/eV/f.u.
volume: 121.21 Å³ per cell
calculated total energy: -5.51 eV/atom
crystal system: tetragonal
magnetic moment: 0.0000 μB/atom
ΔH_f (0 K): -0.4208 eV per atom
space-group type: P4/mmm (123)

---

[5]
Entry from Alexandria via LeMat-Bulk: crystalline Pm2ErTlC at its relaxed geometry (PBE).

Geometry as POSCAR:
```
Pm2ErTlC
1.0
5.098 0.000 0.000
0.000 5.098 0.000
0.000 0.000 4.876
Pm Er Tl C
2 1 1 1
Direct
0.000 0.500 0.000
0.500 0.000 0.000
0.000 0.000 0.500
0.500 0.500 0.500
0.000 0.000 0.000
```

Properties
DOS at the Fermi energy: 2.1 states/eV/f.u.
volume: 126.70 Å³ per cell
calculated total energy: -5.50 eV/atom
crystal system: tetragonal
magnetic moment: 0.0000 μB/atom
ΔH_f (0 K): -0.3656 eV per atom
space-group type: P4/mmm (123)

---

[6]
Entry from Alexandria via LeMat-Bulk: crystalline Pr3ErC at its relaxed geometry (PBE).

Geometry as POSCAR:
```
Pr3ErC
1.0
5.270 0.000 0.000
0.000 5.270 0.000
0.000 0.000 5.270
Pr Er C
3 1 1
Direct
0.000 0.000 0.500
0.000 0.500 0.000
0.500 0.000 0.000
0.500 0.500 0.500
0.000 0.000 0.000
```

Properties
DOS at the Fermi energy: 6.7 states/eV/f.u.
volume: 146.34 Å³ per cell
calculated total energy: -5.50 eV/atom
crystal system: cubic
magnetic moment: 0.0000 μB/atom
ΔH_f (0 K): 0.1231 eV per atom
space-group type: Pm-3m (221)

---

[7]
Entry from Alexandria via LeMat-Bulk: crystalline PrEr3C at its relaxed geometry (PBE).

Geometry as POSCAR:
```
PrEr3C
1.0
5.023 0.000 0.000
0.000 5.023 0.000
0.000 0.000 5.023
Pr Er C
1 3 1
Direct
0.000 0.000 0.000
0.000 0.500 0.500
0.500 0.000 0.500
0.500 0.500 0.000
0.500 0.500 0.500
```

Properties
DOS at the Fermi energy: 4.7 states/eV/f.u.
volume: 126.73 Å³ per cell
calculated total energy: -5.57 eV/atom
crystal system: cubic
magnetic moment: 0.0000 μB/atom
ΔH_f (0 K): -0.0321 eV per atom
space-group type: Pm-3m (221)

---

[8]
Entry from Alexandria via LeMat-Bulk: crystalline PrEr3C2 at its relaxed geometry (PBE).

Geometry as POSCAR:
```
PrEr3C2
1.0
3.607 2.083 6.201
-3.607 2.083 6.201
0.000 -4.165 6.201
Pr Er C
2 6 4
Direct
0.248 0.248 0.248
0.752 0.752 0.752
0.233 0.738 0.738
0.262 0.262 0.767
0.262 0.767 0.262
0.738 0.233 0.738
0.738 0.738 0.233
0.767 0.262 0.262
0.000 0.000 0.500
0.000 0.500 0.000
0.500 0.000 0.000
0.500 0.500 0.500
```

Properties
DOS at the Fermi energy: 4.7 states/eV/f.u.
volume: 279.60 Å³ per cell
calculated total energy: -6.39 eV/atom
crystal system: trigonal
magnetic moment: 0.1366 μB/atom
ΔH_f (0 K): -0.2358 eV per atom
space-group type: R-3m (166)